DFT (GGA-PBE) results for a relaxed structure of CsMg2P2.

Lattice parameters (Å, degrees): 4.4691 4.4691 14.2009 90.00 90.00 90.00
Closest atoms and distances in Å follow each position.
Space group I4/mmm (No. 139)
Unique sites:
Cs 0.0000 0.0000 0.0000 (multiplicity 2)  8 P 3.86, 8 Mg 4.19
Mg 0.0000 0.5000 0.2500 (multiplicity 4)  4 P 2.60
P 0.0000 0.0000 0.3439 (multiplicity 4)  4 Mg 2.60

formation energy from the elements: -0.485 eV/atom
density of states at the Fermi level: 0.565 states/eV per atom
E: -34.57 eV for the cell shown

DFT (GGA-PBE) results for a relaxed structure of NdZn7.

Lattice parameters (Å, degrees): 10.5567 7.1065 4.0892 90.00 112.55 90.00
Closest atoms and distances in Å follow each position.
Space group C2/m (No. 12)
Unique sites:
Nd 0.0000 0.0000 0.0000 (multiplicity 2)  12 Zn 3.14-3.33
Zn 0.0000 0.5000 0.0000 (multiplicity 2)  6 Zn 2.48-2.77
Zn 0.1382 0.3162 0.6386 (multiplicity 8)  6 Zn 2.48-2.77
Zn 0.2459 0.0000 0.7461 (multiplicity 4)  7 Zn 2.48-2.68

formation energy from the elements: -0.217 eV/atom
density of states at the Fermi level: 0.365 states/eV per atom
E: -30.84 eV for the cell shown